1:
Material: LaRe2Ru
Method: DFT, PBE
State: optimized geometry

Lattice parameters (Å, degrees): 5.0773 3.8151 3.8151 90.00 90.00 90.00
Sites, in units of the cell vectors:
1 La 0.5000 0.0000 0.5000
2 Re 0.0000 0.0000 0.0000
3 Re 0.0000 0.5000 0.5000
4 Ru 0.5000 0.5000 0.0000

Properties
Fermi-level density of states   6.01 states/eV/cell

---

2:
Material: LaRe2Ru
Method: DFT, PBE
State: optimized geometry

Lattice parameters (Å, degrees): 4.6533 4.6533 4.6533 60.00 60.00 60.00
Sites, in units of the cell vectors:
1 La 0.5000 0.5000 0.5000
2 Re 0.0000 0.0000 0.0000
3 Re 0.2500 0.2500 0.2500
4 Ru 0.7500 0.7500 0.7500

Properties
Fermi-level density of states   5.61 states/eV/cell

---

3:
Material: LaRe2Ru
Method: DFT, PBE
State: optimized geometry

Lattice parameters (Å, degrees): 2.8216 2.8216 8.9313 90.00 90.00 90.00
Sites, in units of the cell vectors:
1 La 0.5000 0.5000 0.7500
2 Re 0.0000 0.0000 0.0450
3 Re 0.0000 0.0000 0.4550
4 Ru 0.5000 0.5000 0.2500

Properties
Fermi-level density of states   3.71 states/eV/cell

---

4:
Material: LaRe2Ru
Method: DFT, PBE
State: optimized geometry

Lattice parameters (Å, degrees): 10.1579 10.1579 10.1579 16.13 16.13 16.13
Last column: magnetic moment on the atom in μB.
Sites, in units of the cell vectors:
1 La 0.7500 0.7500 0.7500  0.16
2 Re 0.9870 0.9870 0.9870  0.00
3 Re 0.5130 0.5130 0.5130  0.00
4 Ru 0.2500 0.2500 0.2500  0.00

Properties
Fermi-level density of states   3.76 states/eV/cell

---

What are the relative energies? In kJ/mol of atoms: 1 26.0; 2 12.7; 3 0.0; 4 14.6.